Record 1
{"formula": "HgWN2F", "functional": "PBE with a Hubbard U", "state": "relaxed", "e_above_lowest_polymorph_mev_per_atom": 1548, "vol_a3_per_atom": 15.3, "sg": "P4/mmm (123)", "e_tot_ev_per_cell": -18.049, "lattice": [[4.2273, 0.0000, 0.0000], [0.0000, 4.2273, 0.0000], [0.0000, 0.0000, 4.2683]], "species": ["Hg", "W", "N", "N", "F"], "fractional_positions": [[0.0000, 0.0000, 0.0000], [0.5000, 0.5000, 0.5000], [0.0000, 0.5000, 0.0000], [0.5000, 0.0000, 0.0000], [0.0000, 0.0000, 0.5000]]}


Record 2
{"formula": "AlMoO3", "functional": "PBE with a Hubbard U", "state": "relaxed", "vol_a3_per_atom": 12.5, "sg": "Pm-3m (221)", "e_tot_ev_per_cell": -31.162, "lattice": [[3.9698, 0.0000, 0.0000], [0.0000, 3.9698, 0.0000], [0.0000, 0.0000, 3.9698]], "species": ["Al", "Mo", "O", "O", "O"], "fractional_positions": [[0.0000, 0.0000, 0.0000], [0.5000, 0.5000, 0.5000], [0.0000, 0.5000, 0.5000], [0.5000, 0.0000, 0.5000], [0.5000, 0.5000, 0.0000]]}


- Number 1 is which compound?
  HgWN2F